The following is a DFT calculation (PBE with a Hubbard U) of a geometry-optimized MnP2F structure.

The theoretical density comes out at 4.0 g cm⁻³. The energy above the most stable polymorph in this dataset comes out at 0 meV/atom. For the density of states at the Fermi level, the calculation gives 4.83 states/eV/cell.

The space group is Fm-3m (No. 225) and the conventional cell measures 6.068, 6.068 and 6.068 Å, with angles of 90.00, 90.00 and 90.00 degrees. The inequivalent atoms are Mn at (0.000, 0.000, 0.000), P at (0.250, 0.250, 0.250) and F at (0.000, 0.000, 0.500).